No. 1
Here is a relaxed Rb4Ac3SbO8 crystal from the Alexandria database. Energies are from PBE.

a b c (Å): 7.6170 7.9660 7.6174
angles (deg): 118.55 120.00 90.00
Sites, in units of the cell vectors:
Rb: 0.5000 0.0000 0.0000
Rb: 0.5000 0.0000 0.5000
Rb: 0.0000 0.0000 0.0000
Rb: 0.0000 0.0000 0.5000
Ac: 0.5000 0.5000 0.0000
Ac: 0.5000 0.5000 0.5000
Ac: 0.0000 0.5000 0.5000
Sb: 0.0000 0.5000 0.0000
O: 0.2228 0.6853 0.9624
O: 0.2229 0.6854 0.4458
O: 0.2714 0.3141 0.5428
O: 0.7396 0.6853 0.9624
O: 0.2604 0.3147 0.0376
O: 0.7286 0.6859 0.4572
O: 0.7771 0.3146 0.5542
O: 0.7772 0.3147 0.0376

Values from the calculation:
energy relative to the elements, uncorrected	-2185	meV/atom
total energy	-5.934	eV per atom
size of the total moment	0.000	μB per atom
DOS at the Fermi energy	0.0	states/eV per cell

---

No. 2
Here is a relaxed LiP2Ir crystal from the Alexandria database. Energies are from PBE.

a b c (Å): 5.7699 5.7699 6.5223
angles (deg): 63.75 63.75 90.00
Sites, in units of the cell vectors:
P: 0.6763 0.1250 0.2500
P: 0.0737 0.6250 0.2500
P: 0.3750 0.3237 0.7500
P: 0.8750 0.9263 0.7500
Ir: 0.0000 0.0000 0.0000
Ir: 0.7500 0.2500 0.5000
Li: 0.5000 0.5000 0.0000
Li: 0.2500 0.7500 0.5000

Values from the calculation:
total energy	-5.605	eV per atom
energy of formation from the pure elements	-206.1	meV per atom
size of the total moment	0.000	μB per atom
DOS at the Fermi energy	3.6	states/eV per cell

---

No. 3
Here is a relaxed BWCl2 crystal from the Alexandria database. Energies are from PBE.

a b c (Å): 8.9354 8.9354 6.6699
angles (deg): 47.95 47.95 90.00
Site moments in Bohr magnetons follow the coordinates.
Sites, in units of the cell vectors:
B: 0.5000 0.5000 0.0000  0.07
B: 0.2500 0.7500 0.5000  0.07
W: 0.0000 0.0000 0.0000  1.10
W: 0.7500 0.2500 0.5000  1.10
Cl: 0.7781 0.1250 0.2500  0.06
Cl: 0.9719 0.6250 0.2500  0.06
Cl: 0.3750 0.2219 0.7500  0.06
Cl: 0.8750 0.0281 0.7500  0.06

Values from the calculation:
energy relative to the elements, uncorrected	634	meV/atom
total energy	-5.197	eV per atom
size of the total moment	0.427	μB per atom
DOS at the Fermi energy	7.5	states/eV per cell

---

No. 4
Here is a relaxed YThTcAg crystal from the Alexandria database. Energies are from PBE.

a b c (Å): 5.0783 5.0783 5.0783
angles (deg): 60.00 60.00 60.00
Sites, in units of the cell vectors:
Y: 0.0000 0.0000 0.0000
Ag: 0.2500 0.2500 0.2500
Th: 0.5000 0.5000 0.5000
Tc: 0.7500 0.7500 0.7500

Values from the calculation:
total energy	-6.880	eV per atom
energy of formation from the pure elements	-104.8	meV per atom
size of the total moment	0.000	μB per atom
DOS at the Fermi energy	2.6	states/eV per cell

---

No. 5
Here is a relaxed SrTiSb2 crystal from the Alexandria database. Energies are from PBE.

a b c (Å): 4.1809 4.1809 7.9016
angles (deg): 74.66 74.66 60.00
Sites, in units of the cell vectors:
Sb: 0.2665 0.2665 0.2004
Sb: 0.7335 0.7335 0.7996
Ti: 0.0000 0.0000 0.0000
Sr: 0.5000 0.5000 0.5000

Values from the calculation:
energy relative to the elements, uncorrected	-641	meV/atom
total energy	-5.096	eV per atom
size of the total moment	0.000	μB per atom
DOS at the Fermi energy	1.1	states/eV per cell

---

No. 6
Here is a relaxed Tc3AgH crystal from the Alexandria database. Energies are from PBE.

a b c (Å): 5.0698 5.0698 5.0698
angles (deg): 90.00 90.00 90.00
Site moments in Bohr magnetons follow the coordinates.
Sites, in units of the cell vectors:
H: 0.5000 0.5000 0.5000  -0.01
Tc: 0.0000 0.5000 0.0000  3.13
Tc: 0.0000 0.0000 0.5000  3.48
Tc: 0.5000 0.0000 0.0000  2.87
Ag: 0.0000 0.0000 0.0000  0.23

Values from the calculation:
total energy	-4.459	eV per atom
size of the total moment	2.197	μB per atom
DOS at the Fermi energy	7.2	states/eV per cell

---

No. 7
Here is a relaxed Th8TcNi2 crystal from the Alexandria database. Energies are from PBE.

a b c (Å): 6.1336 7.7442 7.7442
angles (deg): 117.53 100.32 100.32
Sites, in units of the cell vectors:
Th: 0.5886 0.3623 0.1075
Th: 0.5886 0.1075 0.3623
Th: 0.1614 0.3605 0.3605
Th: 0.9708 0.1876 0.7732
Th: 0.9708 0.7732 0.1876
Th: 0.8004 0.6437 0.6437
Th: 0.3571 0.9004 0.6462
Th: 0.3571 0.6462 0.9004
Tc: 0.1946 0.0058 0.0058
Ni: 0.5051 0.7263 0.3203
Ni: 0.5051 0.3203 0.7263

Values from the calculation:
total energy	-7.419	eV per atom
energy of formation from the pure elements	-28.9	meV per atom
size of the total moment	0.000	μB per atom
DOS at the Fermi energy	14.0	states/eV per cell

---

No. 8
Here is a relaxed AlSe2Br crystal from the Alexandria database. Energies are from PBE.

a b c (Å): 3.8230 3.9430 7.1583
angles (deg): 69.26 90.00 90.00
Sites, in units of the cell vectors:
Se: 0.0000 0.0000 0.0000
Se: 0.5000 0.5000 0.0000
Br: 0.0000 0.0000 0.5000
Al: 0.5000 0.5000 0.5000

Values from the calculation:
energy relative to the elements, uncorrected	59	meV/atom
total energy	-3.037	eV per atom
size of the total moment	0.000	μB per atom
DOS at the Fermi energy	2.7	states/eV per cell

---

No. 9
Here is a relaxed Zn2CuNi2 crystal from the Alexandria database. Energies are from PBE.

a b c (Å): 6.8938 6.8938 2.6844
angles (deg): 90.00 90.00 90.00
Sites, in units of the cell vectors:
Ni: 0.3730 0.8730 0.0000
Ni: 0.8730 0.6270 0.0000
Ni: 0.6270 0.1270 0.0000
Ni: 0.1270 0.3730 0.0000
Zn: 0.1704 0.6704 0.5000
Zn: 0.6704 0.8296 0.5000
Zn: 0.8296 0.3296 0.5000
Zn: 0.3296 0.1704 0.5000
Cu: 0.0000 0.0000 0.0000
Cu: 0.5000 0.5000 0.0000

Values from the calculation:
total energy	-3.690	eV per atom
energy of formation from the pure elements	-48.7	meV per atom
size of the total moment	0.000	μB per atom
DOS at the Fermi energy	4.7	states/eV per cell

---

No. 10
Here is a relaxed Ac2AlSb crystal from the Alexandria database. Energies are from PBE.

a b c (Å): 5.7200 5.7200 5.7200
angles (deg): 60.00 60.00 60.00
Sites, in units of the cell vectors:
Sb: 0.0000 0.0000 0.0000
Ac: 0.2500 0.2500 0.2500
Ac: 0.7500 0.7500 0.7500
Al: 0.5000 0.5000 0.5000

Values from the calculation:
energy relative to the elements, uncorrected	-464	meV/atom
total energy	-4.485	eV per atom
size of the total moment	0.000	μB per atom
DOS at the Fermi energy	4.0	states/eV per cell

---

No. 11
Here is a relaxed Nd2DyHg crystal from the Alexandria database. Energies are from PBE.

a b c (Å): 3.7062 3.7062 10.9950
angles (deg): 80.30 80.30 60.00
Sites, in units of the cell vectors:
Nd: 0.0774 0.0774 0.7677
Nd: 0.2560 0.2560 0.2321
Dy: 0.4998 0.4998 0.5006
Hg: 0.6668 0.6668 0.9996

Values from the calculation:
total energy	-3.743	eV per atom
energy of formation from the pure elements	-133.6	meV per atom
size of the total moment	0.000	μB per atom
DOS at the Fermi energy	5.1	states/eV per cell

---

No. 12
Here is a relaxed Pr8As6S crystal from the Alexandria database. Energies are from PBE.

a b c (Å): 4.5287 10.7032 10.7032
angles (deg): 120.00 90.00 90.00
Sites, in units of the cell vectors:
Pr: 0.7373 0.9691 0.2997
Pr: 0.7373 0.7003 0.6693
Pr: 0.7373 0.3307 0.0309
Pr: 0.2627 0.0309 0.7003
Pr: 0.2627 0.2997 0.3307
Pr: 0.2627 0.6693 0.9691
Pr: 0.7450 0.3333 0.6667
Pr: 0.2550 0.6667 0.3333
As: 0.7596 0.6541 0.1298
As: 0.7596 0.8702 0.5244
As: 0.7596 0.4756 0.3459
As: 0.2404 0.3459 0.8702
As: 0.2404 0.1298 0.4756
As: 0.2404 0.5244 0.6541
S: 0.5000 0.0000 0.0000

Values from the calculation:
energy relative to the elements, uncorrected	-1145	meV/atom
total energy	-5.829	eV per atom
size of the total moment	0.000	μB per atom
DOS at the Fermi energy	10.6	states/eV per cell